Record 1
Entry from Alexandria via LeMat-Bulk: a geometry-optimized CaIn2Se structure (PBE).

Properties
- ΔE_f (raw) (eV per atom) = -0.71

Cell: 6.012 12.141 4.257 Å, 90.00 134.62 90.00°
Fractional coordinates of all 8 atoms:
Ca 0.000 0.000 0.000
Ca 0.500 0.500 0.000
In 0.250 0.250 0.500
In 0.250 0.750 0.500
In 0.750 0.250 0.500
In 0.750 0.750 0.500
Se 0.000 0.500 0.000
Se 0.500 0.000 0.000



Record 2
Entry from Alexandria via LeMat-Bulk: a geometry-optimized Ca2InSe structure (PBE).

Properties
- ΔE_f (raw) (eV per atom) = -0.70
- energy above the most stable polymorph in this dataset (meV/atom) = 388

Cell: 7.614 7.614 7.614 Å, 90.00 90.00 90.00°
Fractional coordinates of all 16 atoms:
Ca 0.250 0.250 0.250
Ca 0.250 0.250 0.750
Ca 0.250 0.750 0.250
Ca 0.250 0.750 0.750
Ca 0.750 0.250 0.250
Ca 0.750 0.250 0.750
Ca 0.750 0.750 0.250
Ca 0.750 0.750 0.750
In 0.000 0.000 0.000
In 0.000 0.500 0.500
In 0.500 0.000 0.500
In 0.500 0.500 0.000
Se 0.000 0.000 0.500
Se 0.000 0.500 0.000
Se 0.500 0.000 0.000
Se 0.500 0.500 0.500



Record 3
Entry from Alexandria via LeMat-Bulk: a geometry-optimized CaIn2Se4 structure (PBE).

Properties
- ΔE_f (raw) (eV per atom) = -0.93

Cell: 6.375 6.375 10.837 Å, 90.00 90.00 115.21°
Fractional coordinates of all 14 atoms:
Ca 0.000 0.000 0.250
Ca 0.000 0.000 0.750
In 0.274 0.718 0.000
In 0.282 0.726 0.500
In 0.718 0.274 0.500
In 0.726 0.282 0.000
Se 0.000 0.500 0.185
Se 0.000 0.500 0.815
Se 0.144 0.279 0.500
Se 0.279 0.144 0.000
Se 0.500 0.000 0.315
Se 0.500 0.000 0.685
Se 0.721 0.856 0.000
Se 0.856 0.721 0.500



Record 4
Entry from Alexandria via LeMat-Bulk: a geometry-optimized Ca2InSe structure (PBE).

Properties
- ΔE_f (raw) (eV per atom) = -0.29
- energy above the most stable polymorph in this dataset (meV/atom) = 797

Cell: 7.696 7.696 7.696 Å, 90.00 90.00 90.00°
Fractional coordinates of all 16 atoms:
Ca 0.000 0.000 0.000
Ca 0.000 0.500 0.500
Ca 0.250 0.250 0.250
Ca 0.250 0.750 0.750
Ca 0.500 0.000 0.500
Ca 0.500 0.500 0.000
Ca 0.750 0.250 0.750
Ca 0.750 0.750 0.250
In 0.000 0.000 0.500
In 0.000 0.500 0.000
In 0.500 0.000 0.000
In 0.500 0.500 0.500
Se 0.250 0.250 0.750
Se 0.250 0.750 0.250
Se 0.750 0.250 0.250
Se 0.750 0.750 0.750